1.
MgAl2Ge PBE-GGA optimized geometry; crystal system = tetragonal; spin magnetization = 0.0 μB per formula unit; formation energy = 0.0965 eV/atom
1.0
-3.967 3.967 2.630
3.967 -3.967 2.630
3.967 3.967 -2.630
Mg Al Ge
2 4 2
Cartesian
0.000 0.000 0.000
0.000 3.967 1.315
1.983 -1.517 1.972
2.450 1.983 0.657
1.983 5.484 -0.657
1.517 1.983 3.287
3.967 0.000 1.315
0.000 0.000 2.630

2.
Mg2AlGe2 PBE-GGA optimized geometry; crystal system = tetragonal; spin magnetization = 0.0 μB per formula unit; formation energy = 0.1114 eV/atom
1.0
-2.240 2.240 5.449
2.240 -2.240 5.449
2.240 2.240 -5.449
Mg Al Ge
2 1 2
Cartesian
2.240 0.000 2.724
0.000 2.240 2.724
0.000 0.000 0.000
0.000 0.000 4.264
0.000 0.000 6.633

3.
MgAl2Ge PBE-GGA optimized geometry; crystal system = tetragonal; spin magnetization = 0.0 μB per formula unit; formation energy = 0.0098 eV/atom
1.0
4.115 0.000 0.000
0.000 4.115 0.000
0.000 0.000 4.279
Mg Al Ge
1 2 1
Cartesian
0.000 0.000 0.000
0.000 2.058 2.139
2.058 0.000 2.139
2.058 2.058 0.000

4.
MgAl3Ge PBE-GGA optimized geometry; crystal system = cubic; energy relative to the lowest polymorph listed for this composition = 0.000 eV per atom; spin magnetization = 0.0 μB per formula unit; formation energy = 0.5853 eV/atom
1.0
4.951 0.000 0.000
0.000 4.951 0.000
0.000 0.000 4.951
Mg Al Ge
1 3 1
Cartesian
0.000 0.000 0.000
0.000 2.475 2.475
2.475 0.000 2.475
2.475 2.475 0.000
2.475 2.475 2.475